Entry from Alexandria via LeMat-Bulk: LiInTc2 at its PBEsol-relaxed geometry (SCAN).

POSCAR file:
```
LiInTc2
1.0
2.7581 0.0000 0.0000
0.0000 4.3590 0.0000
0.0000 0.0000 5.0631
Li In Tc
1 1 2
Cartesian
0.0000 0.0000 0.0000
0.0000 0.0000 2.5316
1.3790 2.1795 1.1396
1.3790 2.1795 3.9236
```

Summary:
M_tot, μB per atom: 0.00
Total DFT energy (no corrections), eV per atom: -26.17